(1)
4
Lattice="3.4126 -3.4189 0.0000 3.4126 3.4189 0.0000 0.0000 0.0000 3.3721" Properties=species:S:1:pos:R:3 comment="CrSb2Pt, relaxed, DFT PBE" spacegroup="Cmmm, No. 65" raw_formation_energy_ev_per_atom=0.0680 energy_ev_per_cell=-23.64 polymorph_energy_mev_per_atom=165 magmom_total_mub_per_fu=3.42 pbc="T T T"
Cr 0.0000 0.0000 0.0000
Sb 1.7063 1.7094 1.6861
Sb 1.7063 -1.7094 1.6861
Pt 3.4126 0.0000 0.0000

***

(2)
14
Lattice="7.7134 0.0000 0.0000 0.0000 7.7134 0.0000 0.0000 0.0000 3.8734" Properties=species:S:1:pos:R:3 comment="SmP2Pd4, relaxed, DFT PBE" spacegroup="P4_2/mnm, No. 136" energy_ev_per_cell=-84.05 e_form_kj_per_mol_fu=-551 polymorph_energy_mev_per_atom=0 magmom_total_mub_per_fu=0.00 pbc="T T T"
Sm 0.0000 0.0000 0.0000
Sm 3.8567 3.8567 1.9367
P 1.7184 1.7184 1.9367
P 2.1384 5.5751 0.0000
P 5.5751 2.1384 0.0000
P 5.9951 5.9951 1.9367
Pd 0.6189 5.1832 1.9367
Pd 1.3265 3.2378 0.0000
Pd 2.5302 7.0945 1.9367
Pd 3.2378 1.3265 0.0000
Pd 4.4757 6.3869 0.0000
Pd 5.1832 0.6189 1.9367
Pd 6.3869 4.4757 0.0000
Pd 7.0945 2.5302 1.9367

***

(3)
4
Lattice="0.0000 3.4541 3.4541 3.4541 0.0000 3.4541 3.4541 3.4541 0.0000" Properties=species:S:1:pos:R:3 comment="FeBrCl2, relaxed, DFT PBE" spacegroup="Fm-3m, No. 225" raw_formation_energy_ev_per_atom=0.4510 energy_ev_per_cell=-12.02 polymorph_energy_mev_per_atom=1084 magmom_total_mub_per_fu=5.00 pbc="T T T"
Fe 0.0000 0.0000 0.0000
Br 3.4541 3.4541 3.4541
Cl 1.7271 1.7271 1.7271
Cl 5.1812 5.1812 5.1812

***

(4)
4
Lattice="4.3949 0.0000 0.0000 0.0000 4.3949 0.0000 0.0000 0.0000 4.2464" Properties=species:S:1:pos:R:3 comment="Hf2MgTa, relaxed, DFT PBE" spacegroup="P4/mmm, No. 123" energy_ev_per_cell=-32.74 e_form_kj_per_mol_fu=59 magmom_total_mub_per_fu=0.00 pbc="T T T"
Hf 0.0000 2.1974 0.0000
Hf 2.1974 0.0000 0.0000
Mg 0.0000 0.0000 2.1232
Ta 2.1974 2.1974 2.1232

***

(5)
16
Lattice="2.5102 -6.1682 0.0000 2.5102 6.1682 0.0000 0.0000 0.0000 16.7999" Properties=species:S:1:pos:R:3 comment="Sr3Tl3Cd2, relaxed, DFT PBE" spacegroup="Cmcm, No. 63" energy_ev_per_cell=-33.61 e_form_kj_per_mol_fu=-273 magmom_total_mub_per_fu=0.00 pbc="T T T"
Sr 2.5102 5.1281 10.1974
Sr 2.5102 5.1281 15.0024
Sr 2.5102 1.7554 12.5999
Sr 2.5102 -1.7554 4.2000
Sr 2.5102 -5.1281 1.7974
Sr 2.5102 -5.1281 6.6025
Tl 2.5102 1.7334 4.2000
Tl 2.5102 1.4359 9.0681
Tl 2.5102 1.4359 16.1317
Tl 2.5102 -1.4359 0.6681
Tl 2.5102 -1.4359 7.7318
Tl 2.5102 -1.7334 12.5999
Cd 2.5102 3.5647 1.7285
Cd 2.5102 3.5647 6.6714
Cd 2.5102 -3.5647 10.1285
Cd 2.5102 -3.5647 15.0713

***

(6)
16
Lattice="3.0699 -7.4478 0.0000 3.0699 7.4478 0.0000 0.0000 0.0000 13.4555" Properties=species:S:1:pos:R:3 comment="Tb2TmTe5, relaxed, DFT PBE" spacegroup="Cmcm, No. 63" raw_formation_energy_ev_per_atom=-1.2023 energy_ev_per_cell=-78.12 magmom_total_mub_per_fu=0.00 pbc="T T T"
Tb 3.0699 5.0435 7.5494
Tb 3.0699 5.0435 12.6338
Tb 3.0699 -5.0435 0.8217
Tb 3.0699 -5.0435 5.9061
Tm 3.0699 4.4448 3.3639
Tm 3.0699 -4.4448 10.0916
Te 3.0699 6.9412 1.6699
Te 3.0699 6.9412 5.0578
Te 3.0699 3.3101 10.0916
Te 3.0699 2.5675 1.0043
Te 3.0699 2.5675 5.7234
Te 3.0699 -2.5675 7.7321
Te 3.0699 -2.5675 12.4512
Te 3.0699 -3.3101 3.3639
Te 3.0699 -6.9412 8.3977
Te 3.0699 -6.9412 11.7856

***

(7)
32
Lattice="9.2950 0.0000 0.0000 0.0000 16.8528 0.0000 0.0000 0.0000 6.8708" Properties=species:S:1:pos:R:3 comment="Rb3Tl3Pt2, relaxed, DFT PBE" spacegroup="Pnma, No. 62" energy_ev_per_cell=-92.67 e_form_kj_per_mol_fu=-105 polymorph_energy_mev_per_atom=21 magmom_total_mub_per_fu=0.00 pbc="T T T"
Rb 0.3525 1.8473 0.7115
Rb 0.3525 6.5791 0.7115
Rb 1.9664 4.2132 4.0124
Rb 2.6812 12.6396 0.5770
Rb 4.2950 10.2736 4.1469
Rb 4.2950 15.0055 4.1469
Rb 5.0000 1.8473 2.7239
Rb 5.0000 6.5791 2.7239
Rb 6.6139 4.2132 6.2938
Rb 7.3287 12.6396 2.8584
Rb 8.9425 10.2736 6.1593
Rb 8.9425 15.0055 6.1593
Tl 1.4181 12.6396 3.7703
Tl 1.5487 0.6549 4.2280
Tl 1.5487 7.7715 4.2280
Tl 3.0988 9.0813 0.7926
Tl 3.0988 16.1979 0.7926
Tl 3.2294 4.2132 0.3349
Tl 6.0657 12.6396 6.5359
Tl 6.1962 0.6549 6.0782
Tl 6.1962 7.7715 6.0782
Tl 7.7464 9.0813 2.6428
Tl 7.7464 16.1979 2.6428
Tl 7.8769 4.2132 3.1005
Pt 1.1239 10.0869 2.6346
Pt 1.1239 15.1923 2.6346
Pt 3.5236 1.6605 6.0700
Pt 3.5236 6.7659 6.0700
Pt 5.7714 10.0869 0.8008
Pt 5.7714 15.1923 0.8008
Pt 8.1711 1.6605 4.2362
Pt 8.1711 6.7659 4.2362

***

(8)
8
Lattice="-1.9747 1.9747 9.7329 1.9747 -1.9747 9.7329 1.9747 1.9747 -9.7329" Properties=species:S:1:pos:R:3 comment="MgAg2W, relaxed, DFT PBE" spacegroup="I-42d, No. 122" energy_ev_per_cell=-32.13 e_form_kj_per_mol_fu=404 magmom_total_mub_per_fu=0.00 pbc="T T T"
Mg 0.0000 0.0000 0.0000
Mg 0.0000 1.9747 4.8665
Ag 0.9873 -0.9854 7.2997
Ag 0.9893 0.9873 2.4332
Ag 0.9873 2.9601 -2.4332
Ag 0.9854 0.9873 12.1662
W 1.9747 0.0000 4.8665
W 0.0000 0.0000 9.7329

***

(9)
12
Lattice="7.7265 0.0000 0.0000 0.0000 7.7265 0.0000 0.0000 0.0000 3.6089" Properties=species:S:1:pos:R:3 comment="AcRuN, relaxed, DFT PBE" spacegroup="P4_2/m, No. 84" raw_formation_energy_ev_per_atom=-0.0843 energy_ev_per_cell=-87.85 polymorph_energy_mev_per_atom=0 magmom_total_mub_per_fu=0.00 pbc="T T T"
Ac 0.4946 5.4058 0.0000
Ac 2.3208 0.4946 1.8045
Ac 5.4058 7.2319 1.8045
Ac 7.2319 2.3208 0.0000
Ru 2.7624 2.9898 0.0000
Ru 2.9898 4.9642 1.8045
Ru 4.7368 2.7624 1.8045
Ru 4.9642 4.7368 0.0000
N 1.5919 3.2289 1.8045
N 3.2289 6.1346 0.0000
N 4.4976 1.5919 0.0000
N 6.1346 4.4976 1.8045

***

(10)
12
Lattice="5.0452 0.0000 0.0000 0.0000 6.9616 0.0000 -0.2032 0.0000 5.0702" Properties=species:S:1:pos:R:3 comment="Na2TiCdF8, relaxed, DFT PBE" spacegroup="P2/m, No. 10" raw_formation_energy_ev_per_atom=-2.9149 energy_ev_per_cell=-61.40 magmom_total_mub_per_fu=0.00 pbc="T T T"
Na 0.0000 1.7292 0.0000
Na 0.0000 5.2324 0.0000
Ti 2.4210 0.0000 2.5351
Cd 2.4210 3.4808 2.5351
F 0.9855 3.4808 1.0338
F 1.1244 0.0000 1.1716
F 1.4757 1.3897 3.4366
F 1.4757 5.5719 3.4366
F 3.3663 1.3897 1.6335
F 3.3663 5.5719 1.6335
F 3.7176 0.0000 3.8986
F 3.8565 3.4808 4.0364

***

(11)
4
Lattice="4.8162 -1.4679 0.0000 4.8162 1.4679 0.0000 -0.9133 0.0000 4.4333" Properties=species:S:1:pos:R:3 comment="AlPtW2, relaxed, DFT PBE" spacegroup="C2/m, No. 12" energy_ev_per_cell=-36.31 e_form_kj_per_mol_fu=-60 magmom_total_mub_per_fu=0.00 pbc="T T T"
Al 0.0000 0.0000 0.0000
Pt 4.3596 0.0000 2.2166
W 1.6992 0.0000 3.3221
W 7.0200 0.0000 1.1112

***

What did the seventh record say?
32
Lattice="9.2950 0.0000 0.0000 0.0000 16.8528 0.0000 0.0000 0.0000 6.8708" Properties=species:S:1:pos:R:3 comment="Rb3Tl3Pt2, relaxed, DFT PBE" spacegroup="Pnma, No. 62" energy_ev_per_cell=-92.67 e_form_kj_per_mol_fu=-105 polymorph_energy_mev_per_atom=21 magmom_total_mub_per_fu=0.00 pbc="T T T"
Rb 0.3525 1.8473 0.7115
Rb 0.3525 6.5791 0.7115
Rb 1.9664 4.2132 4.0124
Rb 2.6812 12.6396 0.5770
Rb 4.2950 10.2736 4.1469
Rb 4.2950 15.0055 4.1469
Rb 5.0000 1.8473 2.7239
Rb 5.0000 6.5791 2.7239
Rb 6.6139 4.2132 6.2938
Rb 7.3287 12.6396 2.8584
Rb 8.9425 10.2736 6.1593
Rb 8.9425 15.0055 6.1593
Tl 1.4181 12.6396 3.7703
Tl 1.5487 0.6549 4.2280
Tl 1.5487 7.7715 4.2280
Tl 3.0988 9.0813 0.7926
Tl 3.0988 16.1979 0.7926
Tl 3.2294 4.2132 0.3349
Tl 6.0657 12.6396 6.5359
Tl 6.1962 0.6549 6.0782
Tl 6.1962 7.7715 6.0782
Tl 7.7464 9.0813 2.6428
Tl 7.7464 16.1979 2.6428
Tl 7.8769 4.2132 3.1005
Pt 1.1239 10.0869 2.6346
Pt 1.1239 15.1923 2.6346
Pt 3.5236 1.6605 6.0700
Pt 3.5236 6.7659 6.0700
Pt 5.7714 10.0869 0.8008
Pt 5.7714 15.1923 0.8008
Pt 8.1711 1.6605 4.2362
Pt 8.1711 6.7659 4.2362